1.
The following is a DFT calculation (PBE) of an optimized crystal structure of Cu2Si2Pd.

Lattice parameters (Å, degrees): 3.6060 3.6060 6.0325 72.61 72.61 90.00
Closest atoms and distances in Å follow each position.
Element x y z (fractional)
Si (0.3977, 0.3977, 0.2046)  1 Si 2.24, 4 Cu 2.42
Si (0.6023, 0.6023, 0.7954)  1 Si 2.24, 4 Cu 2.42
Cu (0.7500, 0.2500, 0.5000)  4 Si 2.42, 4 Cu 2.55
Cu (0.2500, 0.7500, 0.5000)  4 Si 2.42, 4 Cu 2.55
Pd (0.0000, 0.0000, 0.0000)  8 Si 2.78

Summary:
formation energy without anion corrections: 0.030 eV/atom
theoretical density: 6.8 g cm⁻³
symmetry: I4/mmm


2.
The following is a DFT calculation (PBE) of an optimized crystal structure of Cu5SiPd2.

Lattice parameters (Å, degrees): 3.7611 5.2577 10.4712 90.00 90.00 90.00
Closest atoms and distances in Å follow each position.
Element x y z (fractional)
Cu (0.0000, 0.0000, 0.0000)  6 Cu 2.59-2.66, 2 Si 2.63, 4 Pd 2.71
Cu (0.0000, 0.5000, 0.5000)  6 Cu 2.59-2.66, 2 Si 2.63, 4 Pd 2.71
Cu (0.0000, 0.4464, 0.7527)  7 Cu 2.56-2.66, 1 Si 2.61, 4 Pd 2.72-2.74
Cu (0.0000, 0.5536, 0.2473)  7 Cu 2.56-2.66, 1 Si 2.61, 4 Pd 2.72-2.74
Cu (0.0000, 0.0536, 0.2527)  7 Cu 2.56-2.66, 1 Si 2.61, 4 Pd 2.72-2.74
Cu (0.0000, 0.9464, 0.7473)  7 Cu 2.56-2.66, 1 Si 2.61, 4 Pd 2.72-2.74
Cu (0.5000, 0.1955, 0.8615)  6 Cu 2.56-2.59, 4 Pd 2.64-2.66, 2 Si 2.86
Cu (0.5000, 0.8045, 0.1385)  6 Cu 2.56-2.59, 4 Pd 2.64-2.66, 2 Si 2.86
Cu (0.5000, 0.3045, 0.3615)  6 Cu 2.56-2.59, 4 Pd 2.64-2.66, 2 Si 2.86
Cu (0.5000, 0.6955, 0.6385)  6 Cu 2.56-2.59, 4 Pd 2.64-2.66, 2 Si 2.86
Si (0.0000, 0.0000, 0.5000)  4 Pd 2.43, 4 Cu 2.61-2.63
Si (0.0000, 0.5000, 0.0000)  4 Pd 2.43, 4 Cu 2.61-2.63
Pd (0.5000, 0.1974, 0.6086)  2 Si 2.43, 8 Cu 2.64-2.72
Pd (0.5000, 0.8026, 0.3914)  2 Si 2.43, 8 Cu 2.64-2.72
Pd (0.5000, 0.3026, 0.1086)  2 Si 2.43, 8 Cu 2.64-2.72
Pd (0.5000, 0.6974, 0.8914)  2 Si 2.43, 8 Cu 2.64-2.72

Summary:
formation energy without anion corrections: -0.205 eV/atom
theoretical density: 9.0 g cm⁻³
symmetry: Pbam


3.
The following is a DFT calculation (PBE) of an optimized crystal structure of CuSi2Pd2.

Lattice parameters (Å, degrees): 6.1847 6.1847 3.7208 90.00 90.00 90.00
Closest atoms and distances in Å follow each position.
Element x y z (fractional)
Si (0.3613, 0.8613, 0.0000)  2 Cu 2.39, 1 Si 2.43, 6 Pd 2.52-2.66
Si (0.8613, 0.6387, 0.0000)  2 Cu 2.39, 1 Si 2.43, 6 Pd 2.52-2.66
Si (0.6387, 0.1387, 0.0000)  2 Cu 2.39, 1 Si 2.43, 6 Pd 2.52-2.66
Si (0.1387, 0.3613, 0.0000)  2 Cu 2.39, 1 Si 2.43, 6 Pd 2.52-2.66
Cu (0.0000, 0.0000, 0.0000)  4 Si 2.39
Cu (0.5000, 0.5000, 0.0000)  4 Si 2.39
Pd (0.1669, 0.6669, 0.5000)  6 Si 2.52-2.66
Pd (0.6669, 0.8331, 0.5000)  6 Si 2.52-2.66
Pd (0.8331, 0.3331, 0.5000)  6 Si 2.52-2.66
Pd (0.3331, 0.1669, 0.5000)  6 Si 2.52-2.66

Summary:
formation energy without anion corrections: -0.256 eV/atom
theoretical density: 7.8 g cm⁻³
symmetry: P4/mbm